Entry 1:
# LaCe2Ga2

A geometry-optimized LaCe2Ga2 structure (GGA-PBE, Alexandria).

a = 5.4420 Å, b = 4.2734 Å, c = 12.2466 Å
α = 90.00°, β = 100.31°, γ = 90.00°
Space group P2_1/m (No. 11)
One atom of each set of equivalent atoms:
1 La 0.1989 0.2500 0.2385 [2 per cell]
2 Ce 0.1591 0.7500 0.4899 [2 per cell]
3 Ce 0.3219 0.2500 0.8794 [2 per cell]
4 Ga 0.1450 0.7500 0.0230 [2 per cell]
5 Ga 0.3847 0.2500 0.6459 [2 per cell]

---

Entry 2:
# LaCeGa3

A geometry-optimized LaCeGa3 structure (GGA-PBE, Alexandria).

a = 4.3939 Å, b = 26.3322 Å, c = 4.2581 Å
α = 90.00°, β = 90.00°, γ = 90.00°
Space group Cmcm (No. 63)
One atom of each set of equivalent atoms:
1 La 0.0000 0.0734 0.2500 [4 per cell]
2 Ce 0.0000 0.2054 0.7500 [4 per cell]
3 Ga 0.0000 0.3257 0.7500 [4 per cell]
4 Ga 0.0000 0.3806 0.2500 [4 per cell]
5 Ga 0.0000 0.4761 0.2500 [4 per cell]

---

Entry 3:
# La5CeGa3

A geometry-optimized La5CeGa3 structure (GGA-PBE, Alexandria).

a = 16.1034 Å, b = 9.2966 Å, c = 6.8897 Å
α = 90.00°, β = 90.00°, γ = 90.00°
Space group Cmcm (No. 63)
One atom of each set of equivalent atoms:
1 La 0.0000 0.1722 0.2500 [4 per cell]
2 La 0.1636 0.3361 0.7500 [8 per cell]
3 La 0.1673 0.0000 0.0000 [8 per cell]
4 Ce 0.0000 0.5000 0.0000 [4 per cell]
5 Ga 0.0000 0.1657 0.7500 [4 per cell]
6 Ga 0.1671 0.3329 0.2500 [8 per cell]

---

Number 1: DFT total energy -0.1779 hartree per atom, formation energy -0.27 eV per atom. Number 2: DFT total energy -0.1687 hartree per atom, formation energy -0.60 eV per atom. Number 3: DFT total energy -0.1754 hartree per atom, formation energy -0.37 eV per atom.